[1]
Material: PmSb2O4
Method: DFT, PBE
State: relaxed

abc: 6.9769 6.9769 6.9769
angles: 119.99 90.01 119.99
Closest atoms and distances in Å follow each position.
Fractional positions:
O  0.1493  0.7662  0.3830  1 Pm 2.27, 3 Sb 2.39
O  0.1330  0.2662  0.3993  1 Pm 2.27, 3 Sb 2.39
O  0.6168  0.2338  0.3830  1 Pm 2.27, 3 Sb 2.39
O  0.1332  0.2662  0.8670  1 Pm 2.27, 3 Sb 2.39
O  0.6170  0.2338  0.8507  1 Pm 2.27, 3 Sb 2.39
O  0.6170  0.7662  0.3832  1 Pm 2.27, 3 Sb 2.39
O  0.6007  0.7338  0.8670  1 Pm 2.27, 3 Sb 2.39
O  0.1330  0.7338  0.8668  1 Pm 2.27, 3 Sb 2.39
Sb  0.8750  0.2500  0.6250  6 O 2.39
Sb  0.3750  0.2500  0.6250  6 O 2.39
Sb  0.3750  0.7500  0.1250  6 O 2.39
Sb  0.3750  0.7500  0.6250  6 O 2.39
Pm  0.7500  0.5000  0.2500  4 O 2.27
Pm  0.0000  0.0000  0.0000  4 O 2.27

***

[2]
Material: Pm6SbO12
Method: DFT, PBE
State: relaxed

abc: 6.6382 6.6382 6.6382
angles: 98.75 98.75 98.75
Closest atoms and distances in Å follow each position.
Fractional positions:
Pm  0.8601  0.3903  0.7011  6 O 2.28-2.46
Pm  0.6097  0.2989  0.1399  6 O 2.28-2.46
Pm  0.7011  0.8601  0.3903  6 O 2.28-2.46
Pm  0.3903  0.7011  0.8601  6 O 2.28-2.46
Pm  0.2989  0.1399  0.6097  6 O 2.28-2.46
Pm  0.1399  0.6097  0.2989  6 O 2.28-2.46
O  0.0379  0.7008  0.9335  1 Sb 2.03
O  0.4412  0.5884  0.1778  4 Pm 2.28-2.40
O  0.9621  0.2992  0.0665  1 Sb 2.03
O  0.4116  0.8222  0.5588  4 Pm 2.28-2.40
O  0.5588  0.4116  0.8222  4 Pm 2.28-2.40
O  0.5884  0.1778  0.4412  4 Pm 2.28-2.40
O  0.2992  0.0665  0.9621  1 Sb 2.03
O  0.0665  0.9621  0.2992  1 Sb 2.03
O  0.1778  0.4412  0.5884  4 Pm 2.28-2.40
O  0.8222  0.5588  0.4116  4 Pm 2.28-2.40
O  0.7008  0.9335  0.0379  1 Sb 2.03
O  0.9335  0.0379  0.7008  1 Sb 2.03
Sb  0.0000  0.0000  0.0000  6 O 2.03

***

[3]
Material: Pm2Sb2O5
Method: DFT, PBE
State: relaxed

abc: 7.5116 4.2001 4.2001
angles: 90.00 90.00 90.00
Closest atoms and distances in Å follow each position.
Fractional positions:
Sb  0.2217  0.5000  0.5000  5 O 2.09-2.15
Sb  0.7783  0.5000  0.5000  5 O 2.09-2.15
O  0.7173  0.5000  0.0000  2 Sb 2.15
O  0.2827  0.0000  0.5000  2 Sb 2.15
O  0.5000  0.5000  0.5000  2 Sb 2.09
O  0.7173  0.0000  0.5000  2 Sb 2.15
O  0.2827  0.5000  0.0000  2 Sb 2.15
Pm  0.0000  0.0000  0.0000  8 O 2.99
Pm  0.5000  0.0000  0.0000  12 O 2.66-2.97

Properties
The energy above the lowest structure with this stoichiometry is 311.9 meV per atom.

***

[4]
Material: Pm2Sc2O5
Method: DFT, PBE
State: relaxed

abc: 7.4203 4.0510 4.0510
angles: 90.00 90.00 90.00
Closest atoms and distances in Å follow each position.
Fractional positions:
O  0.2375  0.0000  0.5000  2 Sc 2.03
O  0.2375  0.5000  0.0000  2 Sc 2.03
O  0.5000  0.5000  0.5000  2 Sc 1.99
O  0.7625  0.5000  0.0000  2 Sc 2.03
O  0.7625  0.0000  0.5000  2 Sc 2.03
Sc  0.2312  0.5000  0.5000  5 O 1.99-2.03
Sc  0.7688  0.5000  0.5000  5 O 1.99-2.03
Pm  0.5000  0.0000  0.0000  12 O 2.81-2.86
Pm  0.0000  0.0000  0.0000  8 O 2.69

Properties
The energy above the lowest structure with this stoichiometry is 0.0 meV per atom.

***

[5]
Material: Pm2Sc2O5
Method: DFT, PBE
State: relaxed

abc: 9.9182 3.7699 3.7699
angles: 90.00 90.00 90.00
Closest atoms and distances in Å follow each position.
Fractional positions:
Sc  0.5000  0.0000  0.0000  4 O 2.67
Sc  0.0000  0.0000  0.0000  8 O 2.27
O  0.1282  0.5000  0.0000  2 Pm 2.19, 2 Sc 2.27
O  0.8718  0.5000  0.0000  2 Pm 2.19, 2 Sc 2.27
O  0.1282  0.0000  0.5000  2 Pm 2.19, 2 Sc 2.27
O  0.8718  0.0000  0.5000  2 Pm 2.19, 2 Sc 2.27
O  0.5000  0.5000  0.5000  2 Pm 2.57, 4 Sc 2.67
Pm  0.2404  0.5000  0.5000  4 O 2.19
Pm  0.7596  0.5000  0.5000  4 O 2.19

Properties
The energy above the lowest structure with this stoichiometry is 380.0 meV per atom.

***

[6]
Material: Pm2Se2O
Method: DFT, PBE
State: relaxed

abc: 7.9237 7.9237 7.5256
angles: 90.00 90.00 150.39
Closest atoms and distances in Å follow each position.
Fractional positions:
Se  0.7052  0.2948  0.6018  5 Pm 2.87-3.10
Se  0.2948  0.7052  0.1018  5 Pm 2.87-3.10
Se  0.4509  0.5491  0.7857  5 Pm 2.90-3.06, 2 O 3.11
Se  0.5491  0.4509  0.2857  5 Pm 2.90-3.06, 2 O 3.11
Pm  0.3419  0.6581  0.4709  2 O 2.31
Pm  0.9484  0.0516  0.0901  2 O 2.53-2.54
Pm  0.0516  0.9484  0.5901  2 O 2.53-2.54
Pm  0.6581  0.3419  0.9709  2 O 2.31
O  0.0910  0.9090  0.9170  4 Pm 2.31-2.54
O  0.9090  0.0910  0.4170  4 Pm 2.31-2.54

***

[7]
Material: PmSmSeO2
Method: DFT, PBE
State: relaxed

abc: 3.9414 3.9414 6.9306
angles: 90.00 90.00 120.00
Closest atoms and distances in Å follow each position.
Fractional positions:
O  0.6667  0.3333  0.6256  1 Sm 2.34, 3 Pm 2.35
O  0.3333  0.6667  0.3724  3 Sm 2.35, 1 Pm 2.35
Se  0.0000  0.0000  0.0015  3 Sm 3.02, 3 Pm 3.03
Pm  0.3333  0.6667  0.7120  4 O 2.35
Sm  0.6667  0.3333  0.2885  4 O 2.34-2.35

***

[8]
Material: Pm2SiO4
Method: DFT, PBE
State: relaxed

abc: 6.7486 5.4712 10.2245
angles: 90.00 90.00 90.00
Closest atoms and distances in Å follow each position.
Fractional positions:
O  0.1522  0.7500  0.1166  3 Pm 2.26-2.47
O  0.6962  0.5043  0.6303  1 Si 1.69
O  0.1962  0.9957  0.8697  1 Si 1.69
O  0.4670  0.2500  0.0568  1 Si 1.69
O  0.1962  0.5043  0.8697  1 Si 1.69
O  0.3478  0.2500  0.6166  3 Pm 2.26-2.47
O  0.5330  0.7500  0.9432  1 Si 1.69
O  0.3038  0.0043  0.3697  1 Si 1.69
O  0.6522  0.7500  0.3834  3 Pm 2.26-2.47
O  0.9670  0.2500  0.4432  1 Si 1.69
O  0.8038  0.0043  0.1303  1 Si 1.69
O  0.8038  0.4957  0.1303  1 Si 1.69
O  0.6962  0.9957  0.6303  1 Si 1.69
O  0.8478  0.2500  0.8834  3 Pm 2.26-2.47
O  0.3038  0.4957  0.3697  1 Si 1.69
O  0.0330  0.7500  0.5568  1 Si 1.69
Si  0.6602  0.2500  0.1614  3 O 1.69
Si  0.1602  0.2500  0.3386  3 O 1.69
Si  0.3398  0.7500  0.8386  3 O 1.69
Si  0.8398  0.7500  0.6614  3 O 1.69
Pm  0.3865  0.7500  0.5502  6 O 2.38-2.62
Pm  0.5300  0.2500  0.8123  3 O 2.26-2.54
Pm  0.4700  0.7500  0.1877  3 O 2.26-2.54
Pm  0.1135  0.2500  0.0502  6 O 2.38-2.62
Pm  0.9700  0.7500  0.3123  3 O 2.26-2.54
Pm  0.6135  0.2500  0.4498  6 O 2.38-2.62
Pm  0.0300  0.2500  0.6877  3 O 2.26-2.54
Pm  0.8865  0.7500  0.9498  6 O 2.38-2.62

Properties
The energy above the lowest structure with this stoichiometry is 0.0 meV per atom.

***

[9]
Material: Pm2Si2O7
Method: DFT, PBE
State: relaxed

abc: 5.8223 5.8223 4.7513
angles: 96.77 96.77 105.23
Closest atoms and distances in Å follow each position.
Fractional positions:
O  0.0000  0.0000  0.5000  2 Si 1.65
O  0.6250  0.6250  0.2879  1 Si 1.63
O  0.9103  0.6183  0.7737  1 Si 1.64
O  0.6183  0.9103  0.7737  1 Si 1.64
O  0.3750  0.3750  0.7121  1 Si 1.63
O  0.3817  0.0897  0.2263  1 Si 1.64
O  0.0897  0.3817  0.2263  1 Si 1.64
Si  0.7844  0.7844  0.5857  4 O 1.63-1.65
Si  0.2156  0.2156  0.4143  4 O 1.63-1.65
Pm  0.3041  0.6959  0.0000  6 O 2.32-2.38
Pm  0.6959  0.3041  0.0000  6 O 2.32-2.38

Properties
The energy above the lowest structure with this stoichiometry is 3.1 meV per atom.

***

[10]
Material: Pm2Si2O7
Method: DFT, PBE
State: relaxed

abc: 6.7057 6.7572 12.1836
angles: 93.83 90.34 91.23
Closest atoms and distances in Å follow each position.
Fractional positions:
O  0.6373  0.5133  0.8732  1 Si 1.62
O  0.2922  0.5727  0.4974  2 Si 1.68-1.69
O  0.3427  0.2179  0.8101  1 Si 1.61
O  0.6071  0.4113  0.2998  2 Si 1.66-1.72
O  0.9984  0.0050  0.1837  1 Si 1.64
O  0.2267  0.9189  0.6206  1 Si 1.60
O  0.3737  0.1384  0.2096  1 Si 1.64
O  0.5814  0.8295  0.5563  1 Si 1.61
O  0.6263  0.8616  0.7904  1 Si 1.64
O  0.6573  0.7821  0.1899  1 Si 1.61
O  0.9995  0.3357  0.9183  1 Si 1.66
O  0.6969  0.2831  0.0918  1 Si 1.61
O  0.4186  0.1705  0.4437  1 Si 1.61
O  0.3929  0.5887  0.7002  2 Si 1.66-1.72
O  0.0005  0.6643  0.0817  1 Si 1.66
O  0.7574  0.9064  0.0000  1 Si 1.63
O  0.7078  0.4273  0.5026  2 Si 1.68-1.69
O  0.3031  0.7169  0.9082  1 Si 1.61
O  0.2909  0.7694  0.3175  1 Si 1.65
O  0.9251  0.5815  0.6798  1 Si 1.61
O  0.0749  0.4185  0.3202  1 Si 1.61
O  0.2426  0.0936  0.0000  1 Si 1.63
O  0.7091  0.2306  0.6825  1 Si 1.65
O  0.3627  0.4867  0.1268  1 Si 1.62
O  0.9710  0.7659  0.4345  1 Si 1.64
O  0.0016  0.9950  0.8163  1 Si 1.64
O  0.0290  0.2341  0.5655  1 Si 1.64
O  0.7733  0.0811  0.3794  1 Si 1.60
Pm  0.6645  0.1746  0.8945  6 O 2.33-2.48
Pm  0.3632  0.2481  0.6278  6 O 2.25-2.42
Pm  0.8807  0.9186  0.6387  6 O 2.29-2.55
Pm  0.9464  0.6742  0.8824  7 O 2.32-2.51
Pm  0.1193  0.0814  0.3613  6 O 2.29-2.55
Pm  0.6368  0.7519  0.3722  6 O 2.25-2.42
Pm  0.0536  0.3258  0.1176  7 O 2.32-2.51
Pm  0.3355  0.8254  0.1055  6 O 2.33-2.48
Si  0.4882  0.6740  0.8265  4 O 1.61-1.72
Si  0.3731  0.7377  0.5978  4 O 1.60-1.68
Si  0.8509  0.3793  0.6123  4 O 1.61-1.69
Si  0.5118  0.3260  0.1735  4 O 1.61-1.72
Si  0.6269  0.2623  0.4022  4 O 1.60-1.68
Si  0.1491  0.6207  0.3877  4 O 1.61-1.69
Si  0.1542  0.1544  0.8826  4 O 1.61-1.66
Si  0.8458  0.8456  0.1174  4 O 1.61-1.66

Properties
The energy above the lowest structure with this stoichiometry is 0.0 meV per atom.

***

| no. | raw total energy (Ry per atom) |
| --- | --- |
| 1 | -0.4563 |
| 2 | -0.5771 |
| 3 | -0.4697 |
| 4 | -0.6026 |
| 5 | -0.5747 |
| 6 | -0.4923 |
| 7 | -0.5596 |
| 8 | -0.5747 |
| 9 | -0.6005 |
| 10 | -0.6007 |